Material: CoBTe2N
Method: DFT, PBE
State: relaxed

Values from the calculation:
volume: 18.3 A^3/atom
formation energy (no corrections): 1.004 eV per atom
crystal system: tetragonal
magnetic moment: 0.000 μB/atom
total energy: -4.67 eV/atom
space group: P4/mmm, No. 123

Lattice parameters (Å, degrees): 5.233 5.233 3.350 90.00 90.00 90.00
Positions (direct):
B  0.500  0.500  0.500
Te  0.000  0.500  0.000
Te  0.500  0.000  0.000
Co  0.000  0.000  0.000
N  0.000  0.000  0.500